Material: BeFe3Os
Method: DFT, PBE-GGA
State: relaxed

For the uncorrected energy, the calculation gives -6.302 eV per atom. As for the energy above the most stable polymorph in this dataset: 1.0762 eV/atom.

POSCAR file:
```
BeFe3Os
1.0
4.491 0.000 0.000
0.000 4.491 0.000
0.000 0.000 4.491
Be Fe Os
1 3 1
Direct
0.000 0.000 0.000
0.000 0.500 0.500
0.500 0.000 0.500
0.500 0.500 0.000
0.500 0.500 0.500
```